Run A
Entry from the Alexandria database: an optimized crystal structure of NbAgSnH2 (PBE). Values from VASP.

Output
The size of the total moment comes out at 1.32 Bohr magnetons per cell.

Quantum ESPRESSO input file:
```
&SYSTEM
  ibrav = 0, nat = 5, ntyp = 4
/
ATOMIC_SPECIES
Nb 92.91 Nb.upf
H 1.01 H.upf
Sn 118.71 Sn.upf
Ag 107.87 Ag.upf
ATOMIC_POSITIONS crystal
Nb 0.500 0.500 0.500
H 0.500 0.000 0.000
H 0.000 0.000 0.500
Sn 0.000 0.500 0.000
Ag 0.000 0.000 0.000
CELL_PARAMETERS angstrom
-1.151 0.913 3.544
0.233 -5.666 1.535
3.657 0.441 1.074
```

Run B
Entry from the Alexandria database: an optimized crystal structure of NbAgSnH2 (PBE). Values from VASP.

Output
The size of the total moment comes out at 0.98 Bohr magnetons per cell.

Quantum ESPRESSO input file:
```
&SYSTEM
  ibrav = 0, nat = 5, ntyp = 4
/
ATOMIC_SPECIES
H 1.01 H.upf
Sn 118.71 Sn.upf
Nb 92.91 Nb.upf
Ag 107.87 Ag.upf
ATOMIC_POSITIONS crystal
H 0.500 0.000 0.000
H 0.000 0.000 0.500
Sn 0.500 0.500 0.500
Nb 0.000 0.000 0.000
Ag 0.000 0.500 0.000
CELL_PARAMETERS angstrom
3.853 0.000 0.000
0.000 5.540 0.000
0.000 0.000 3.853
```

Computed energies relative to the best structure, in meV per atom: run A 266; run B 0

Run A
Entry from the Alexandria database: an optimized crystal structure of Nb2TcAgH (PBE). Values from VASP.

Output
The size of the total moment comes out at 0.00 Bohr magnetons per cell.

Quantum ESPRESSO input file:
```
&SYSTEM
  ibrav = 0, nat = 5, ntyp = 4
/
ATOMIC_SPECIES
Nb 92.91 Nb.upf
Ag 107.87 Ag.upf
Tc 98.00 Tc.upf
H 1.01 H.upf
ATOMIC_POSITIONS crystal
Nb 0.000 0.000 0.500
Nb 0.500 0.000 0.000
Ag 0.000 0.500 0.000
Tc 0.500 0.500 0.500
H 0.000 0.000 0.000
CELL_PARAMETERS angstrom
-3.968 -1.185 0.070
1.098 -3.581 1.588
-0.401 1.568 3.813
```

Run B
Entry from the Alexandria database: an optimized crystal structure of Nb2TcAgH (PBE). Values from VASP.

Output
The size of the total moment comes out at 0.00 Bohr magnetons per cell.

Quantum ESPRESSO input file:
```
&SYSTEM
  ibrav = 0, nat = 5, ntyp = 4
/
ATOMIC_SPECIES
H 1.01 H.upf
Nb 92.91 Nb.upf
Ag 107.87 Ag.upf
Tc 98.00 Tc.upf
ATOMIC_POSITIONS crystal
H 0.000 0.000 0.000
Nb 0.000 0.500 0.000
Nb 0.500 0.000 0.000
Ag 0.500 0.500 0.500
Tc 0.000 0.000 0.500
CELL_PARAMETERS angstrom
4.164 0.000 0.000
0.000 4.164 0.000
0.000 0.000 4.016
```

Computed energies relative to the best structure, in meV per atom: run A 73; run B 0